A plane-wave DFT calculation with PBE was carried out for crystalline TaInPd6 at its relaxed geometry.

Structure (POSCAR):
```
TaInPd6
1.0
-1.965 -3.376 0.855
0.646 -1.318 -3.720
6.857 -3.386 2.390
Pd In Ta
6 1 1
Direct
0.500 0.500 0.000
0.500 0.000 0.738
0.000 0.500 0.262
0.500 0.500 0.500
0.000 0.500 0.738
0.500 0.000 0.262
0.000 0.000 0.000
0.000 0.000 0.500
```

Computed properties:
For the formation energy from the elements, the calculation gives -0.512 eV/atom. Its calculated density is 12109 kg/m3.


A plane-wave DFT calculation with PBE was carried out for crystalline Tb3Y2Se8 at its relaxed geometry.

Structure (POSCAR):
```
Tb3Y2Se8
1.0
-4.817 -4.245 2.816
4.022 0.200 7.181
-4.000 6.714 -2.666
Tb Y Se
3 2 8
Direct
0.500 0.000 0.000
0.000 0.261 0.000
0.000 0.739 0.000
0.338 0.258 0.515
0.662 0.742 0.485
0.586 0.637 0.752
0.093 0.380 0.760
0.924 0.119 0.238
0.907 0.620 0.240
0.076 0.881 0.762
0.414 0.884 0.248
0.414 0.363 0.248
0.586 0.116 0.752
```

Computed properties:
Its calculated density is 5483 kg/m3. The raw total energy comes out at -5.918 eV/atom.


A plane-wave DFT calculation with PBE was carried out for crystalline ErReSi at its relaxed geometry.

Structure (POSCAR):
```
ErReSi
1.0
-3.717 0.014 -2.101
1.396 -5.052 -2.503
-0.676 -0.908 5.527
Re Si Er
2 2 2
Direct
0.211 0.883 0.422
0.789 0.117 0.578
0.607 0.680 0.214
0.393 0.320 0.786
0.893 0.689 0.786
0.107 0.311 0.214
```

Computed properties:
Its calculated density is 10389 kg/m3. The raw total energy comes out at -7.799 eV/atom.


A plane-wave DFT calculation with PBE was carried out for crystalline MoP3C at its relaxed geometry.

Structure (POSCAR):
```
MoP3C
1.0
3.973 0.000 0.000
0.000 3.973 0.000
0.000 0.000 3.973
C P Mo
1 3 1
Direct
0.000 0.000 0.000
0.000 0.000 0.500
0.500 0.000 0.000
0.000 0.500 0.000
0.500 0.500 0.500
```

Computed properties:
For the formation energy from the elements, the calculation gives 1.021 eV/atom. The distance to the lowest polymorph of the same formula is 0 meV/atom. Its calculated density is 5319 kg/m3.


A plane-wave DFT calculation with PBE was carried out for crystalline LiY2NiN at its relaxed geometry.

Structure (POSCAR):
```
LiY2NiN
1.0
-0.695 -3.629 -3.158
-2.137 -2.625 3.488
-3.351 1.467 -0.948
Ni Li Y N
1 1 2 1
Direct
0.000 0.000 0.500
0.500 0.500 0.500
0.000 0.500 0.000
0.500 0.000 0.000
0.000 0.000 0.000
```

Computed properties:
The distance to the lowest polymorph of the same formula is 118 meV/atom. Its calculated density is 4789 kg/m3.


A plane-wave DFT calculation with PBE was carried out for crystalline LiAsIr at its relaxed geometry.

Structure (POSCAR):
```
LiAsIr
1.0
6.968 0.012 -0.008
6.096 2.737 -0.009
0.872 -1.151 2.470
Li As Ir
1 1 1
Direct
0.671 0.671 0.329
0.992 0.992 0.008
0.337 0.337 0.663
```

Computed properties:
For the formation energy from the elements, the calculation gives -0.013 eV/atom. Its calculated density is 9695 kg/m3.